1.
Material: YCdIn
Method: DFT, GGA-PBE
State: relaxed

Cell: 4.8537 4.8537 7.4195 Å, 90.00 90.00 120.00°
Closest atoms and distances in Å follow each position.
Space group P-6m2 (No. 187)
Asymmetric unit:
Y 0.0000 0.0000 0.0000 (multiplicity 1)  6 Cd 3.19, 6 In 3.51
Y 0.0000 0.0000 0.5000 (multiplicity 1)  6 In 3.22, 6 Cd 3.55
Cd 0.3333 0.6667 0.2056 (multiplicity 2)  3 In 2.86, 1 Cd 3.05, 3 Y 3.19
In 0.6667 0.3333 0.2856 (multiplicity 2)  3 Cd 2.86, 1 In 3.18

Properties
Its calculated total energy is -3.811 eV per atom. The magnetic moment is 0.0 Bohr magnetons per cell.


2.
Material: NpTlBi
Method: DFT, GGA-PBE
State: relaxed

Cell: 7.3596 7.3596 7.3596 Å, 90.00 90.00 90.00°
Closest atoms and distances in Å follow each position.
Space group F-43m (No. 216)
Asymmetric unit:
Np 0.0000 0.0000 0.0000 (multiplicity 4)  4 Tl 3.19
Tl 0.2500 0.2500 0.7500 (multiplicity 4)  4 Bi 3.19, 4 Np 3.19
Bi 0.0000 0.0000 0.5000 (multiplicity 4)  4 Tl 3.19

Properties
Its calculated total energy is -5.922 eV per atom. The magnetic moment is 18.8 Bohr magnetons per cell.


3.
Material: ScCoCuSb
Method: DFT, GGA-PBE
State: relaxed

Cell: 6.4145 6.4145 6.4145 Å, 90.00 90.00 90.00°
Closest atoms and distances in Å follow each position.
Space group F-43m (No. 216)
Asymmetric unit:
Sc 0.0000 0.0000 0.0000 (multiplicity 4)  4 Co 2.78, 4 Sb 2.78
Co 0.2500 0.2500 0.2500 (multiplicity 4)  4 Sc 2.78, 4 Cu 2.78
Cu 0.0000 0.0000 0.5000 (multiplicity 4)  4 Co 2.78, 4 Sb 2.78
Sb 0.2500 0.2500 0.7500 (multiplicity 4)  4 Sc 2.78, 4 Cu 2.78

Properties
The value obtained for the energy above the lowest structure with this stoichiometry is 292 meV/atom. Its calculated total energy is -5.342 eV per atom. The magnetic moment is 3.2 Bohr magnetons per cell.


4.
Material: SrZnSeO
Method: DFT, GGA-PBE
State: relaxed

Cell: 4.6921 4.6921 7.6659 Å, 90.00 90.00 90.00°
Closest atoms and distances in Å follow each position.
Space group P4/nmm (No. 129, origin choice 2)
Asymmetric unit:
Sr 0.2500 0.2500 0.1762 (multiplicity 2)  1 O 2.25
Zn 0.2500 0.2500 0.6364 (multiplicity 2)  1 O 1.88
Se 0.2500 0.7500 0.5000 (multiplicity 2)  4 Zn 2.57
O 0.2500 0.2500 0.8821 (multiplicity 2)  1 Zn 1.88

Properties
Its calculated total energy is -4.237 eV per atom.


5.
Material: Y2ReSi2OsC
Method: DFT, GGA-PBE
State: relaxed

Cell: 10.9444 4.0850 6.9067 Å, 90.00 128.68 90.00°
Closest atoms and distances in Å follow each position.
Space group Cm (No. 8)
Asymmetric unit:
Y 0.0000 0.0000 0.0000 (multiplicity 2)  2 C 2.65
Y 0.1357 0.0000 0.6749 (multiplicity 2)  2 C 2.65
Re 0.3619 0.0000 0.5257 (multiplicity 2)  1 C 1.91
Si 0.2156 0.5000 0.4366 (multiplicity 2)  2 Re 2.43, 1 Os 2.45, 1 Si 2.62
Si 0.4175 0.0000 0.2311 (multiplicity 2)  2 Os 2.41, 1 Re 2.46, 1 Si 2.62
Os 0.2764 0.5000 0.1505 (multiplicity 2)  1 C 1.92
C 0.0685 0.5000 0.8377 (multiplicity 2)  1 Re 1.91, 1 Os 1.92

Properties
Its calculated total energy is -8.759 eV per atom. The magnetic moment is 0.0 Bohr magnetons per cell.


6.
Material: NaDyGaS3
Method: DFT, GGA-PBE
State: relaxed

Cell: 4.2496 12.6538 10.4743 Å, 90.00 90.00 90.00°
Closest atoms and distances in Å follow each position.
Space group Cmcm (No. 63)
Asymmetric unit:
Na 0.0000 0.2478 0.2500 (multiplicity 4)  6 S 3.06-3.20, 1 Ga 3.31
Dy 0.0000 0.5000 0.0000 (multiplicity 4)  6 S 2.78-2.81
Ga 0.0000 0.0141 0.7500 (multiplicity 4)  4 S 2.37-2.40
S 0.0000 0.1317 0.5741 (multiplicity 8)  1 Ga 2.37
S 0.0000 0.4267 0.7500 (multiplicity 4)  2 Ga 2.40

Properties
Its calculated total energy is -4.756 eV per atom. The magnetic moment is 0.0 Bohr magnetons per cell.